# GGA-PBE AlTlP, relaxed
# Formation energy from the elements, meV/atom: 91
# V, Å³ per cell: 276.3
# Electronic total energy, eV/atom: -3.749
data_AlTlP
_cell_length_a 3.9273
_cell_length_b 5.8881
_cell_length_c 11.9475
_cell_angle_alpha 90.00
_cell_angle_beta 90.00
_cell_angle_gamma 90.00
_symmetry_space_group_name_H-M 'I m m m'
_symmetry_Int_Tables_number 71
_symmetry_space_group_name_Hall '-I 2 2'
loop_
_atom_site_label
_atom_site_fract_x
_atom_site_fract_y
_atom_site_fract_z
_atom_site_occupancy
Al1 0.0000 0.0000 0.2000 1
Tl1 0.0000 0.2489 0.5000 1
P1 0.0000 0.5000 0.1881 1


# GGA-PBE ZrBi2Ir2, relaxed
# Formation energy from the elements, meV/atom: 301
# V, Å³ per cell: 210.7
# Electronic total energy, eV/atom: -6.505
data_ZrBi2Ir2
_cell_length_a 8.1336
_cell_length_b 8.1336
_cell_length_c 3.1854
_cell_angle_alpha 90.00
_cell_angle_beta 90.00
_cell_angle_gamma 90.00
_symmetry_space_group_name_H-M 'P 4/m b m'
_symmetry_Int_Tables_number 127
_symmetry_space_group_name_Hall '-P 4 2ab'
loop_
_atom_site_label
_atom_site_fract_x
_atom_site_fract_y
_atom_site_fract_z
_atom_site_occupancy
Zr1 0.0000 0.0000 0.0000 1
Bi1 0.1451 0.3549 0.0000 1
Ir1 0.1554 0.6554 0.5000 1